one:
Entry from the Alexandria database: Ti2ReOs after structural relaxation (PBE).

It has space group Fm-3m (No. 225), with a = 6.208 Å, b = 6.208 Å, c = 6.208 Å, α = 90.00°, β = 90.00° and γ = 90.00°. The distinct sites, in fractional coordinates, are Ti at (0.250, 0.250, 0.250), Re at (0.000, 0.000, 0.000) and Os at (0.000, 0.000, 0.500).

The total moment is 0.000 μB per formula unit. The value obtained for the density is 13.11 g/cm³.

=====

two:
Entry from the Alexandria database: Ti2ReOs after structural relaxation (PBE).

It has space group P4/mmm (No. 123), with a = 3.100 Å, b = 3.100 Å, c = 6.227 Å, α = 90.00°, β = 90.00° and γ = 90.00°. The distinct sites, in fractional coordinates, are Ti at (0.000, 0.000, 0.249), Re at (0.500, 0.500, 0.500) and Os at (0.500, 0.500, 0.000).

The total moment is 0.000 μB per formula unit. The value obtained for the density is 13.10 g/cm³.

=====

Order from most stable to least stable according to the calculation: two, one

=====

one:
Entry from the Alexandria database: TlReOs2 after structural relaxation (PBE).

It has space group P4/mmm (No. 123), with a = 2.888 Å, b = 2.888 Å, c = 7.894 Å, α = 90.00°, β = 90.00° and γ = 90.00°. The distinct sites, in fractional coordinates, are Tl at (0.000, 0.000, 0.000), Re at (0.000, 0.000, 0.500) and Os at (0.500, 0.500, 0.280).

The total moment is 0.000 μB per formula unit. The value obtained for the density is 19.44 g/cm³.

=====

two:
Entry from the Alexandria database: TlReOs2 after structural relaxation (PBE).

It has space group P4/mmm (No. 123), with a = 4.661 Å, b = 4.661 Å, c = 3.014 Å, α = 90.00°, β = 90.00° and γ = 90.00°. The distinct sites, in fractional coordinates, are Tl at (0.000, 0.000, 0.000), Re at (0.500, 0.500, 0.000) and Os at (0.000, 0.500, 0.500).

The total moment is 0.000 μB per formula unit. The value obtained for the density is 19.55 g/cm³.

=====

Order from most stable to least stable according to the calculation: one, two

=====

one:
Entry from the Alexandria database: TlReOs2 after structural relaxation (PBE).

It has space group Cmmm (No. 65), with a = 5.704 Å, b = 7.883 Å, c = 2.880 Å, α = 90.00°, β = 90.00° and γ = 90.00°. The distinct sites, in fractional coordinates, are Tl at (0.000, 0.000, 0.000), Re at (0.000, 0.500, 0.000) and Os at (0.250, 0.250, 0.500).

The total moment is 0.000 μB per formula unit. The value obtained for the density is 19.77 g/cm³.

=====

two:
Entry from the Alexandria database: TlReOs2 after structural relaxation (PBE).

It has space group Cm (No. 8), with a = 9.380 Å, b = 2.880 Å, c = 4.957 Å, α = 90.00°, β = 100.17° and γ = 90.00°. The distinct sites, in fractional coordinates, are Tl at (0.000, 0.000, 0.000), Re at (0.267, 0.500, 0.307), Os at (0.005, 0.500, 0.494) and Os at (0.237, 0.000, 0.739).

The total moment is 0.000 μB per formula unit. The value obtained for the density is 19.43 g/cm³.

=====

three:
Entry from the Alexandria database: TlReOs2 after structural relaxation (PBE).

It has space group P4/mmm (No. 123), with a = 4.104 Å, b = 4.104 Å, c = 3.879 Å, α = 90.00°, β = 90.00° and γ = 90.00°. The distinct sites, in fractional coordinates, are Tl at (0.000, 0.000, 0.000), Re at (0.500, 0.500, 0.000) and Os at (0.000, 0.500, 0.500).

The total moment is 1.269 μB per formula unit. The value obtained for the density is 19.60 g/cm³.

=====

Order from most stable to least stable according to the calculation: two, one, three

=====

one:
Entry from the Alexandria database: TlReOs2 after structural relaxation (PBE).

It has space group Cmm2 (No. 35), with a = 2.834 Å, b = 4.904 Å, c = 9.777 Å, α = 90.00°, β = 90.00° and γ = 90.00°. The distinct sites, in fractional coordinates, are Tl at (0.000, 0.000, 0.000), Re at (0.000, 0.500, 0.722), Os at (0.000, 0.000, 0.497) and Os at (0.000, 0.500, 0.269).

The total moment is 0.000 μB per formula unit. The value obtained for the density is 18.84 g/cm³.

=====

two:
Entry from the Alexandria database: TlReOs2 after structural relaxation (PBE).

It has space group I4/mmm (No. 139), with a = 4.063 Å, b = 4.063 Å, c = 7.829 Å, α = 90.00°, β = 90.00° and γ = 90.00°. The distinct sites, in fractional coordinates, are Tl at (0.000, 0.000, 0.000), Re at (0.000, 0.000, 0.500) and Os at (0.000, 0.500, 0.250).

The total moment is 0.751 μB per formula unit. The value obtained for the density is 19.81 g/cm³.

=====

three:
Entry from the Alexandria database: TlReOs2 after structural relaxation (PBE).

It has space group Pmmm (No. 47), with a = 2.936 Å, b = 4.675 Å, c = 4.777 Å, α = 90.00°, β = 90.00° and γ = 90.00°. The distinct sites, in fractional coordinates, are Tl at (0.000, 0.000, 0.000), Re at (0.500, 0.000, 0.500), Os at (0.000, 0.500, 0.500) and Os at (0.500, 0.500, 0.000).

The total moment is 0.009 μB per formula unit. The value obtained for the density is 19.53 g/cm³.

=====

four:
Entry from the Alexandria database: TlReOs2 after structural relaxation (PBE).

It has space group C2/m (No. 12), with a = 9.271 Å, b = 2.874 Å, c = 5.047 Å, α = 90.00°, β = 99.84° and γ = 90.00°. The distinct sites, in fractional coordinates, are Tl at (0.000, 0.000, 0.000), Re at (0.000, 0.500, 0.500) and Os at (0.235, 0.000, 0.711).

The total moment is 0.000 μB per formula unit. The value obtained for the density is 19.32 g/cm³.

=====

Order from most stable to least stable according to the calculation: four, two, one, three